DyU2Se6, optimized geometry, DFT PBE-GGA; SG = I-42m; formation energy from raw total energies = -0.963 eV per atom; relative energy among the computed polymorphs = 327.1 meV/atom; total DFT energy (no corrections) = -6.31 eV per atom
1.0
-2.402 0.428 -4.668
3.080 -3.811 -1.934
-7.211 -5.331 6.193
Se U Dy
6 2 1
Cartesian
-4.637 -3.297 -0.888 Se
-5.813 -4.857 4.123 Se
-1.896 -5.416 0.479 Se
-2.356 -1.832 -3.506 Se
-5.452 -6.654 0.617 Se
0.555 -4.084 -2.053 Se
-2.562 -2.617 1.078 U
-3.972 -6.096 -1.487 U
0.339 -1.691 -3.301 Dy


DyU4Se8, optimized geometry, DFT PBE-GGA; SG = R-3m; formation energy from raw total energies = -1.251 eV per atom; total DFT energy (no corrections) = -7.22 eV per atom
1.0
7.360 0.528 3.610
2.468 6.954 3.610
0.694 0.528 8.168
Se U Dy
8 4 1
Cartesian
3.872 5.486 5.663 Se
7.841 5.969 11.467 Se
6.319 2.272 5.663 Se
2.681 2.041 3.920 Se
6.650 2.524 9.725 Se
2.984 2.272 7.943 Se
7.538 5.738 7.445 Se
4.203 5.738 9.725 Se
0.000 0.000 0.000 U
4.027 0.528 5.889 U
1.581 3.741 5.889 U
4.914 3.741 3.610 U
5.261 4.005 7.694 Dy